Pu2FeO6 after structural relaxation, computed with PBE+U.

Geometry as POSCAR:
```
Pu2FeO6
1.0
4.9491 0.0000 0.0000
0.0000 4.9491 0.0000
0.0000 0.0000 10.0059
Pu O Fe
4 12 2
Direct
0.5000 0.5000 0.6682 Pu
0.0000 0.0000 0.1682 Pu
0.0000 0.0000 0.8318 Pu
0.5000 0.5000 0.3318 Pu
0.1988 0.8012 0.0000 O
0.6874 0.6874 0.1574 O
0.8126 0.1874 0.3426 O
0.1874 0.8126 0.3426 O
0.1874 0.8126 0.6574 O
0.3126 0.3126 0.8426 O
0.3126 0.3126 0.1574 O
0.6874 0.6874 0.8426 O
0.3012 0.3012 0.5000 O
0.6988 0.6988 0.5000 O
0.8012 0.1988 0.0000 O
0.8126 0.1874 0.6574 O
0.0000 0.0000 0.5000 Fe
0.5000 0.5000 0.0000 Fe
```

Values from the calculation:
Final energy   -86.3 eV/f.u.
Offset from the most stable computed form   0.000 kcal/mol of atoms